A relaxed structure of NbMo4W3, computed with PBE.

```
NbMo4W3
1.0
-2.220 0.010 2.283
3.177 -0.832 3.092
1.214 8.871 1.141
Mo Nb W
4 1 3
direct
0.000 0.500 0.254
0.000 0.000 0.500
0.000 0.000 0.000
0.000 0.500 0.746
0.500 0.500 0.000
0.500 0.000 0.251
0.500 0.500 0.500
0.500 0.000 0.749
```

* ΔE to the lowest computed polymorph: 0.000 eV/atom
* total magnetization: 0.0 μB/cell
* total energy: -11.60 eV/atom
* DOS at the Fermi energy: 0.548 states/eV per atom



A relaxed structure of NaTiAs2Os, computed with PBE.

```
NaTiAs2Os
1.0
4.714 0.000 0.000
0.000 4.310 0.000
0.000 0.000 4.714
Ti Os As Na
1 1 2 1
direct
0.000 0.500 0.000
0.500 0.500 0.500
0.000 0.000 0.500
0.500 0.000 0.000
0.000 0.000 0.000
```

* total magnetization: 1.0 μB/cell
* total energy: -4.12 eV/atom
* DOS at the Fermi energy: 1.524 states/eV per atom